1.
DFT (PBE) results for a relaxed CdPtSe2 crystal.

abc: 6.9851 6.9851 6.9851
angles: 32.15 32.15 32.15
Positions (direct):
Pt: 0.7500 0.7500 0.7500
Se: 0.4845 0.4845 0.4845
Se: 0.0155 0.0155 0.0155
Cd: 0.2500 0.2500 0.2500

Calculated values
Calculated total energy in eV/atom: -3.7288


2.
DFT (PBE) results for a relaxed Pr2Ag3Hg3 crystal.

abc: 5.1193 5.1193 8.8596
angles: 73.21 73.21 60.00
Positions (direct):
Pr: 0.5005 0.5005 0.4984
Pr: 0.9995 0.9995 0.0014
Ag: 0.6255 0.6255 0.1234
Ag: 0.2519 0.2519 0.2442
Ag: 0.7479 0.7479 0.7562
Hg: 0.8754 0.8754 0.3739
Hg: 0.3744 0.3744 0.8768
Hg: 0.1248 0.1248 0.6256

Calculated values
Calculated total energy in eV/atom: -2.6859


| no. | magnetization (μB per formula unit) |
| --- | --- |
| 1 | 0.0 |
| 2 | 0.0 |